[1]
# AcCdInAg (PBE, optimized geometry)
# Magnetization, μB per cell: 0.00
# E_form, meV/atom: -297
# Crystal system: cubic
data_AcCdInAg
_chemical_formula_sum 'Ac4 Cd4 In4 Ag4'
_cell_length_a 7.540
_cell_length_b 7.540
_cell_length_c 7.540
_cell_angle_alpha 90.00
_cell_angle_beta 90.00
_cell_angle_gamma 90.00
_space_group_name_H-M_alt 'F -4 3 m'
_space_group_IT_number 216
_space_group_name_Hall 'F -4 2 3'
loop_
_atom_site_label
_atom_site_type_symbol
_atom_site_fract_x
_atom_site_fract_y
_atom_site_fract_z
Ac1 Ac 0.000 0.000 0.000
Cd1 Cd 0.250 0.250 0.750
In1 In 0.000 0.000 0.500
Ag1 Ag 0.250 0.250 0.250

[2]
# Ni6Sn (PBE, optimized geometry)
# Magnetization, μB per cell: 8.49
# E_form, meV/atom: 839
# Crystal system: cubic
data_Ni6Sn
_chemical_formula_sum 'Ni12 Sn2'
_cell_length_a 6.222
_cell_length_b 6.222
_cell_length_c 6.222
_cell_angle_alpha 90.00
_cell_angle_beta 90.00
_cell_angle_gamma 90.00
_space_group_name_H-M_alt 'I m -3 m'
_space_group_IT_number 229
_space_group_name_Hall '-I 4 2 3'
loop_
_atom_site_label
_atom_site_type_symbol
_atom_site_fract_x
_atom_site_fract_y
_atom_site_fract_z
Ni1 Ni 0.000 0.250 0.500
Sn1 Sn 0.000 0.000 0.000

[3]
# Hg2PbCl (PBE, optimized geometry)
# Relative energy among the computed polymorphs, eV/atom: 0.030
# Magnetization, μB per cell: 0.00
# Crystal system: orthorhombic
data_Hg2PbCl
_chemical_formula_sum 'Hg2 Pb1 Cl1'
_cell_length_a 3.623
_cell_length_b 5.131
_cell_length_c 5.913
_cell_angle_alpha 90.00
_cell_angle_beta 90.00
_cell_angle_gamma 90.00
_space_group_name_H-M_alt 'P m m m'
_space_group_IT_number 47
_space_group_name_Hall '-P 2 2'
loop_
_atom_site_label
_atom_site_type_symbol
_atom_site_fract_x
_atom_site_fract_y
_atom_site_fract_z
Hg1 Hg 0.000 0.000 0.000
Hg2 Hg 0.500 0.500 0.000
Pb1 Pb 0.000 0.500 0.500
Cl1 Cl 0.500 0.000 0.500

[4]
# Cs3Ca2PaO6 (PBE, optimized geometry)
# Energy, Ry per atom: -0.4678
# Magnetization, μB per cell: 0.00
# Crystal system: monoclinic
data_Cs3Ca2PaO6
_chemical_formula_sum 'Cs6 Ca4 Pa2 O12'
_cell_length_a 6.259
_cell_length_b 10.845
_cell_length_c 7.186
_cell_angle_alpha 90.00
_cell_angle_beta 106.75
_cell_angle_gamma 90.00
_space_group_name_H-M_alt 'C 1 2/m 1'
_space_group_IT_number 12
_space_group_name_Hall '-C 2y'
loop_
_atom_site_label
_atom_site_type_symbol
_atom_site_fract_x
_atom_site_fract_y
_atom_site_fract_z
Cs1 Cs 0.000 0.000 0.000
Cs2 Cs 0.000 0.330 0.000
Ca1 Ca 0.000 0.167 0.500
Pa1 Pa 0.000 0.500 0.500
O1 O 0.208 0.348 0.667
O2 O 0.247 0.500 0.330

[5]
# TlCdGaHg2 (PBE, optimized geometry)
# Relative energy among the computed polymorphs, eV/atom: 0.000
# Magnetization, μB per cell: 0.00
# E_form, meV/atom: 94
# Crystal system: trigonal
data_TlCdGaHg2
_chemical_formula_sum 'Tl1 Cd1 Ga1 Hg2'
_cell_length_a 4.6344
_cell_length_b 4.6344
_cell_length_c 7.6256
_cell_angle_alpha 90.00
_cell_angle_beta 90.00
_cell_angle_gamma 120.00
_space_group_name_H-M_alt 'P 3 m 1'
_space_group_IT_number 156
_space_group_name_Hall 'P 3 -2"'
loop_
_atom_site_label
_atom_site_type_symbol
_atom_site_fract_x
_atom_site_fract_y
_atom_site_fract_z
Tl1 Tl 0.0000 0.0000 0.0000
Cd1 Cd 0.3333 0.6667 0.6140
Ga1 Ga 0.6667 0.3333 0.3690
Hg1 Hg 0.3333 0.6667 0.2292
Hg2 Hg 0.6667 0.3333 0.7730

[6]
# KSr2Mn (PBE, optimized geometry)
# Relative energy among the computed polymorphs, eV/atom: 0.000
# Magnetization, μB per cell: 3.41
# E_form, meV/atom: 357
# Crystal system: tetragonal
data_KSr2Mn
_chemical_formula_sum 'K1 Sr2 Mn1'
_cell_length_a 4.026
_cell_length_b 4.026
_cell_length_c 10.937
_cell_angle_alpha 90.00
_cell_angle_beta 90.00
_cell_angle_gamma 90.00
_space_group_name_H-M_alt 'P 4/m m m'
_space_group_IT_number 123
_space_group_name_Hall '-P 4 2'
loop_
_atom_site_label
_atom_site_type_symbol
_atom_site_fract_x
_atom_site_fract_y
_atom_site_fract_z
K1 K 0.000 0.000 0.000
Sr1 Sr 0.500 0.500 0.326
Mn1 Mn 0.000 0.000 0.500